1.
Entry from Alexandria via LeMat-Bulk: SbOsW2 after structural relaxation (PBE-GGA).

Values from the calculation:
Formation energy without anion corrections in eV per atom: 0.44
SG: P4/mmm
Energy in eV/cell: -39.5
Total moment in μB/f.u.: 0.0

Unit cell a=3.018 b=3.018 c=7.370 alpha=90.00 beta=90.00 gamma=89.97
Element x y z (fractional)
1 Os 0.500 0.500 0.250
2 W 0.000 0.000 0.015
3 Sb 0.500 0.500 0.750
4 W 0.000 0.000 0.485

=====

2.
Entry from Alexandria via LeMat-Bulk: YZnCu2 after structural relaxation (PBE-GGA).

Values from the calculation:
SG: P4/mmm
Energy in eV/cell: -16.4
Formation energy in meV/atom: -113
Total moment in μB/f.u.: 0.0

Unit cell a=3.242 b=3.236 c=6.490 alpha=90.00 beta=90.00 gamma=90.00
Element x y z (fractional)
1 Cu 0.000 0.000 0.549
2 Zn 0.500 0.500 0.750
3 Y 0.500 0.500 0.250
4 Cu 0.000 0.000 0.951

=====

3.
Entry from Alexandria via LeMat-Bulk: Nd3TcI3 after structural relaxation (PBE-GGA).

Values from the calculation:
Formation energy without anion corrections in eV per atom: -0.83
SG: P2_1/m
Energy in eV/cell: -70.2
Total moment in μB/f.u.: 0.0

Unit cell a=4.247 b=9.585 c=12.652 alpha=92.09 beta=90.00 gamma=90.00
Element x y z (fractional)
1 Nd 0.250 0.901 0.611
2 Nd 0.250 0.882 0.173
3 Tc 0.750 0.112 0.624
4 Nd 0.750 0.099 0.389
5 I 0.250 0.391 0.369
6 Nd 0.250 0.315 0.621
7 I 0.750 0.609 0.631
8 I 0.750 0.636 0.125
9 I 0.750 0.127 0.121
10 I 0.250 0.364 0.875
11 Nd 0.750 0.685 0.379
12 Nd 0.750 0.118 0.827
13 Tc 0.250 0.888 0.376
14 I 0.250 0.873 0.879

=====

4.
Entry from Alexandria via LeMat-Bulk: La8Tc3NiBr4 after structural relaxation (PBE-GGA).

Values from the calculation:
Formation energy without anion corrections in eV per atom: -0.66
SG: C2/m
Energy in eV/cell: -93.6
Total moment in μB/f.u.: 0.0

Unit cell a=8.383 b=9.269 c=8.344 alpha=116.51 beta=120.15 gamma=90.00
Element x y z (fractional)
1 La 0.763 0.304 0.526
2 La 0.237 0.697 0.961
3 La 0.724 0.697 0.961
4 Br 0.000 0.000 0.000
5 La 0.276 0.303 0.039
6 Br 0.500 0.000 0.000
7 Br 0.000 0.000 0.500
8 Ni 0.000 0.500 0.000
9 Tc 0.500 0.500 0.000
10 La 0.237 0.696 0.474
11 Tc 0.500 0.500 0.500
12 La 0.734 0.701 0.469
13 Tc 0.000 0.500 0.500
14 Br 0.500 0.000 0.500
15 La 0.763 0.303 0.039
16 La 0.266 0.299 0.531

=====

5.
Entry from Alexandria via LeMat-Bulk: Ba2Au after structural relaxation (PBE-GGA).

Values from the calculation:
SG: Cmce
Energy in eV/cell: -34.5
Formation energy in meV/atom: -501
Total moment in μB/f.u.: 0.0

Unit cell a=4.861 b=8.204 c=15.417 alpha=90.00 beta=90.00 gamma=90.00
Element x y z (fractional)
1 Ba 0.250 0.414 0.885
2 Ba 0.750 0.914 0.885
3 Ba 0.250 0.086 0.115
4 Au 0.750 0.250 0.000
5 Au 0.250 0.250 0.500
6 Ba 0.750 0.586 0.115
7 Au 0.250 0.750 0.000
8 Ba 0.750 0.086 0.385
9 Au 0.750 0.750 0.500
10 Ba 0.250 0.914 0.615
11 Ba 0.750 0.414 0.615
12 Ba 0.250 0.586 0.385

=====

6.
Entry from Alexandria via LeMat-Bulk: EuB2Ir after structural relaxation (PBE-GGA).

Values from the calculation:
SG: R-3m
Energy in eV/cell: -33.4
Formation energy in meV/atom: -222
Total moment in μB/f.u.: 7.2

Unit cell a=3.701 b=3.701 c=5.419 alpha=70.03 beta=70.03 gamma=60.00
Site moments in Bohr magnetons follow the coordinates.
Element x y z (fractional)
1 Eu 0.500 0.500 0.500  6.80
2 B 0.305 0.305 0.084  0.01
3 B 0.695 0.695 0.916  0.01
4 Ir 0.000 0.000 0.000  -0.01

=====

7.
Entry from Alexandria via LeMat-Bulk: BaLi2YCl after structural relaxation (PBE-GGA).

Values from the calculation:
Formation energy without anion corrections in eV per atom: -0.26
SG: P4/mmm
Energy in eV/cell: -15.4
Total moment in μB/f.u.: 0.6

Unit cell a=5.358 b=5.506 c=5.358 alpha=90.00 beta=90.00 gamma=90.00
Site moments in Bohr magnetons follow the coordinates.
Element x y z (fractional)
1 Li 0.000 0.000 0.500  0.02
2 Y 0.000 0.500 0.000  0.05
3 Cl 0.000 0.000 0.000  0.02
4 Ba 0.500 0.500 0.500  0.06
5 Li 0.500 0.000 0.000  0.01

=====

8.
Entry from Alexandria via LeMat-Bulk: NaHoSn2I8 after structural relaxation (PBE-GGA).

Values from the calculation:
Formation energy without anion corrections in eV per atom: -0.89
SG: P2/m
Energy in eV/cell: -37.0
Total moment in μB/f.u.: 0.0

Unit cell a=7.721 b=7.235 c=9.241 alpha=89.98 beta=90.00 gamma=88.80
Element x y z (fractional)
1 I 0.325 0.233 0.000
2 I 0.348 0.265 0.500
3 I 0.152 0.758 0.238
4 I 0.652 0.735 0.500
5 Ho 0.000 0.000 0.000
6 I 0.675 0.767 0.000
7 Na 0.000 0.000 0.500
8 Sn 0.500 0.500 0.747
9 I 0.848 0.242 0.762
10 I 0.153 0.759 0.762
11 I 0.847 0.241 0.238
12 Sn 0.500 0.500 0.253